Entry 1:
The following is a PBE calculation of a relaxed LiNd3Y3Te8 crystal, from Alexandria.

Cell: 8.839 8.839 8.839 Å, 59.75 59.75 59.75°
Fractional coordinates of all 15 atoms:
Li (0.000, 0.000, 0.000)
Nd (0.000, 0.000, 0.500)
Nd (0.000, 0.500, 0.000)
Nd (0.500, 0.000, 0.000)
Y (0.000, 0.500, 0.500)
Y (0.500, 0.000, 0.500)
Y (0.500, 0.500, 0.000)
Te (0.248, 0.248, 0.745)
Te (0.248, 0.745, 0.248)
Te (0.253, 0.253, 0.253)
Te (0.255, 0.752, 0.752)
Te (0.745, 0.248, 0.248)
Te (0.747, 0.747, 0.747)
Te (0.752, 0.255, 0.752)
Te (0.752, 0.752, 0.255)

Calculated values
E_form (uncorrected) = -1.374 eV per atom



Entry 2:
The following is a PBE calculation of a relaxed Os3Pb crystal, from Alexandria.

Cell: 4.034 4.034 4.034 Å, 90.00 90.00 90.00°
Fractional coordinates of all 4 atoms:
Os (0.000, 0.000, 0.500)
Os (0.000, 0.500, 0.000)
Os (0.500, 0.000, 0.000)
Pb (0.500, 0.500, 0.500)

Calculated values
Formation energy from the elements = 1158 meV per atom



Entry 3:
The following is a PBE calculation of a relaxed Si2TcP crystal, from Alexandria.

Cell: 6.434 6.434 6.434 Å, 129.06 129.06 74.92°
Fractional coordinates of all 8 atoms:
Si (0.120, 0.625, 0.995)
Si (0.375, 0.370, 0.495)
Si (0.630, 0.125, 0.005)
Si (0.875, 0.880, 0.505)
Tc (0.250, 0.750, 0.500)
Tc (0.500, 0.500, 0.000)
P (0.000, 0.000, 0.000)
P (0.750, 0.250, 0.500)

Calculated values
E_form (uncorrected) = 0.337 eV per atom



| no. | magnetization (μB per cell) |
| --- | --- |
| 1 | 0.0 |
| 2 | 0.0 |
| 3 | 0.0 |